(1)
A plane-wave DFT calculation with PBE-GGA was carried out for a geometry-optimized LiCo2PbAu structure.

abc: 4.9425 4.9425 5.3607
angles: 90.00 90.00 90.00
Atoms (fractional coordinates):
Li1 0.0000 0.0000 0.0000
Co1 0.0000 0.5000 0.5000
Co2 0.5000 0.0000 0.5000
Pb1 0.5000 0.5000 0.5000
Au1 0.5000 0.5000 0.0000

Energy of formation, eV/atom: 1.108

(2)
A plane-wave DFT calculation with PBE-GGA was carried out for a geometry-optimized LiCoPd2Au structure.

abc: 4.2251 4.2251 4.3521
angles: 90.00 90.00 90.00
Atoms (fractional coordinates):
Li1 0.0000 0.0000 0.0000
Co1 0.5000 0.5000 0.5000
Pd1 0.0000 0.5000 0.0000
Pd2 0.5000 0.0000 0.0000
Au1 0.0000 0.0000 0.5000

Energy of formation, eV/atom: 0.523

(3)
A plane-wave DFT calculation with PBE-GGA was carried out for a geometry-optimized LiCoPtAu2 structure.

abc: 4.8225 4.8225 4.6179
angles: 90.00 90.00 90.00
Atoms (fractional coordinates):
Li1 0.0000 0.0000 0.0000
Co1 0.5000 0.5000 0.5000
Pt1 0.5000 0.5000 0.0000
Au1 0.0000 0.5000 0.5000
Au2 0.5000 0.0000 0.5000

Energy of formation, eV/atom: 0.479

(4)
A plane-wave DFT calculation with PBE-GGA was carried out for a geometry-optimized Rb2LiCoAu structure.

abc: 6.6562 6.6562 4.9102
angles: 90.00 90.00 90.00
Atoms (fractional coordinates):
Rb1 0.0000 0.5000 0.0000
Rb2 0.5000 0.0000 0.0000
Li1 0.0000 0.0000 0.5000
Co1 0.5000 0.5000 0.5000
Au1 0.5000 0.5000 0.0000

Energy of formation, eV/atom: 0.510

(5)
A plane-wave DFT calculation with PBE-GGA was carried out for a geometry-optimized LiTaCoAu2 structure.

abc: 4.7666 4.7666 3.8135
angles: 90.00 90.00 90.00
Atoms (fractional coordinates):
Li1 0.0000 0.0000 0.0000
Ta1 0.5000 0.5000 0.0000
Co1 0.0000 0.0000 0.5000
Au1 0.0000 0.5000 0.5000
Au2 0.5000 0.0000 0.5000

Energy of formation, eV/atom: 0.926

(6)
A plane-wave DFT calculation with PBE-GGA was carried out for a geometry-optimized LuCo4Au structure.

abc: 4.9219 4.9219 4.9219
angles: 60.00 60.00 60.00
Atoms (fractional coordinates):
Lu1 0.0000 0.0000 0.0000
Co1 0.3754 0.3754 0.3754
Co2 0.3754 0.3754 0.8737
Co3 0.3754 0.8737 0.3754
Co4 0.8737 0.3754 0.3754
Au1 0.7500 0.7500 0.7500

Energy of formation, eV/atom: -0.199

(7)
A plane-wave DFT calculation with PBE-GGA was carried out for a geometry-optimized SmLuCoAu structure.

abc: 4.9379 4.9379 4.9379
angles: 60.00 60.00 60.00
Atoms (fractional coordinates):
Sm1 0.0000 0.0000 0.0000
Lu1 0.5000 0.5000 0.5000
Co1 0.7500 0.7500 0.7500
Au1 0.2500 0.2500 0.2500

Energy of formation, eV/atom: -0.416

(8)
A plane-wave DFT calculation with PBE-GGA was carried out for a geometry-optimized YLuCoAu structure.

abc: 4.8854 4.8854 4.8854
angles: 60.00 60.00 60.00
Atoms (fractional coordinates):
Y1 0.0000 0.0000 0.0000
Lu1 0.5000 0.5000 0.5000
Co1 0.2500 0.2500 0.2500
Au1 0.7500 0.7500 0.7500

Energy of formation, eV/atom: -0.469

(9)
A plane-wave DFT calculation with PBE-GGA was carried out for a geometry-optimized Mg2CoAu structure.

abc: 4.6692 2.9961 5.0384
angles: 90.00 110.12 90.00
Atoms (fractional coordinates):
Mg1 0.0000 0.0000 0.0000
Mg2 0.0000 0.5000 0.5000
Co1 0.5000 0.0000 0.5000
Au1 0.5000 0.5000 0.0000

Energy of formation, eV/atom: -0.020

(10)
A plane-wave DFT calculation with PBE-GGA was carried out for a geometry-optimized Mg2CoAu structure.

abc: 9.3222 9.3222 9.3222
angles: 18.33 18.33 18.33
Atoms (fractional coordinates):
Mg1 0.0000 0.0000 0.0000
Mg2 0.2332 0.2332 0.2332
Co1 0.4925 0.4925 0.4925
Au1 0.7490 0.7490 0.7490

Energy of formation, eV/atom: 0.124

(11)
A plane-wave DFT calculation with PBE-GGA was carried out for a geometry-optimized Mg2CoAu structure.

abc: 2.8887 4.0781 5.6163
angles: 90.00 90.00 90.00
Atoms (fractional coordinates):
Mg1 0.0000 0.0000 0.0000
Mg2 0.5000 0.5000 0.3073
Co1 0.5000 0.5000 0.8037
Au1 0.0000 0.0000 0.5269

Energy of formation, eV/atom: -0.042

(12)
A plane-wave DFT calculation with PBE-GGA was carried out for a geometry-optimized MgCo4Au structure.

abc: 4.8345 4.8345 4.8345
angles: 60.00 60.00 60.00
Atoms (fractional coordinates):
Mg1 0.0000 0.0000 0.0000
Co1 0.1250 0.6250 0.6250
Co2 0.6250 0.1250 0.6250
Co3 0.6250 0.6250 0.1250
Co4 0.6250 0.6250 0.6250
Au1 0.2500 0.2500 0.2500

Energy of formation, eV/atom: 0.046